1.
# TiCd2W

A geometry-optimized TiCd2W structure (PBE-GGA, Alexandria).

The energy is -4.90 eV/atom. For the formation energy, the calculation gives 769 meV per atom. The distance to the lowest polymorph of the same formula comes out at 0.55 eV per formula unit.

The space group is I-42d (No. 122) and the conventional cell measures 3.886, 3.886 and 20.945 Å, with angles of 90.00, 90.00 and 90.00 degrees. The asymmetric unit holds Ti at (0.000, 0.000, 0.000), Cd at (0.246, 0.250, 0.625) and W at (0.000, 0.000, 0.500).


2.
# Ti2Cd2W

A geometry-optimized Ti2Cd2W structure (PBE-GGA, Alexandria).

The energy is -5.48 eV/atom. For the formation energy, the calculation gives 636 meV per atom. The distance to the lowest polymorph of the same formula comes out at 0.00 eV per formula unit.

The space group is P4/mbm (No. 127) and the conventional cell measures 7.852, 7.852 and 3.005 Å, with angles of 90.00, 90.00 and 90.00 degrees. The asymmetric unit holds Ti at (0.173, 0.327, 0.000), Cd at (0.128, 0.628, 0.500) and W at (0.000, 0.000, 0.000).


3.
# Ti2CdW

A geometry-optimized Ti2CdW structure (PBE-GGA, Alexandria).

The energy is -6.62 eV/atom. For the formation energy, the calculation gives 792 meV per atom.

The space group is I-42d (No. 122) and the conventional cell measures 3.942, 3.942 and 19.246 Å, with angles of 90.00, 90.00 and 90.00 degrees. The asymmetric unit holds Ti at (0.232, 0.250, 0.125), Cd at (0.000, 0.000, 0.500) and W at (0.000, 0.000, 0.000).


4.
# Ti2CdW

A geometry-optimized Ti2CdW structure (PBE-GGA, Alexandria).

The energy is -7.47 eV/atom. For the formation energy, the calculation gives -53 meV per atom.

The space group is P4/mmm (No. 123) and the conventional cell measures 3.254, 3.254 and 6.645 Å, with angles of 90.00, 90.00 and 90.00 degrees. The asymmetric unit holds Ti at (0.000, 0.000, 0.217), Cd at (0.500, 0.500, 0.500) and W at (0.500, 0.500, 0.000).


5.
# YTi2Cd2

A geometry-optimized YTi2Cd2 structure (PBE-GGA, Alexandria).

The energy is -4.75 eV/atom. For the formation energy, the calculation gives 65 meV per atom. The distance to the lowest polymorph of the same formula comes out at 0.00 eV per formula unit.

The space group is P4/mbm (No. 127) and the conventional cell measures 8.408, 8.408 and 3.056 Å, with angles of 90.00, 90.00 and 90.00 degrees. The asymmetric unit holds Y at (0.000, 0.000, 0.000), Ti at (0.109, 0.391, 0.000) and Cd at (0.184, 0.684, 0.500).


6.
# YTiCd2

A geometry-optimized YTiCd2 structure (PBE-GGA, Alexandria).

The energy is -3.78 eV/atom. For the formation energy, the calculation gives 270 meV per atom. The distance to the lowest polymorph of the same formula comes out at 1.42 eV per formula unit.

The space group is I-42d (No. 122) and the conventional cell measures 8.158, 8.158 and 5.816 Å, with angles of 90.00, 90.00 and 90.00 degrees. The asymmetric unit holds Y at (0.000, 0.000, 0.000), Ti at (0.000, 0.000, 0.500) and Cd at (0.215, 0.250, 0.625).


7.
# YTi2Cd2

A geometry-optimized YTi2Cd2 structure (PBE-GGA, Alexandria).

The energy is -4.66 eV/atom. For the formation energy, the calculation gives 152 meV per atom. The distance to the lowest polymorph of the same formula comes out at 0.44 eV per formula unit.

The space group is P4/mbm (No. 127) and the conventional cell measures 8.165, 8.165 and 3.262 Å, with angles of 90.00, 90.00 and 90.00 degrees. The asymmetric unit holds Y at (0.000, 0.000, 0.000), Ti at (0.168, 0.332, 0.500) and Cd at (0.130, 0.630, 0.000).


8.
# YTiCd2

A geometry-optimized YTiCd2 structure (PBE-GGA, Alexandria).

The energy is -4.11 eV/atom. For the formation energy, the calculation gives -66 meV per atom. The distance to the lowest polymorph of the same formula comes out at 0.08 eV per formula unit.

The space group is P4/mmm (No. 123) and the conventional cell measures 4.540, 4.540 and 4.394 Å, with angles of 90.00, 90.00 and 90.00 degrees. The asymmetric unit holds Y at (0.000, 0.000, 0.000), Ti at (0.500, 0.500, 0.000) and Cd at (0.000, 0.500, 0.500).


9.
# YTi2Cd2

A geometry-optimized YTi2Cd2 structure (PBE-GGA, Alexandria).

The energy is -4.72 eV/atom. For the formation energy, the calculation gives 101 meV per atom. The distance to the lowest polymorph of the same formula comes out at 0.18 eV per formula unit.

The space group is I4/mmm (No. 139) and the conventional cell measures 4.071, 4.071 and 13.778 Å, with angles of 90.00, 90.00 and 90.00 degrees. The asymmetric unit holds Y at (0.000, 0.000, 0.000), Ti at (0.000, 0.500, 0.250) and Cd at (0.000, 0.000, 0.398).


10.
# Y2TiCd2

A geometry-optimized Y2TiCd2 structure (PBE-GGA, Alexandria).

The energy is -4.51 eV/atom. For the formation energy, the calculation gives 23 meV per atom.

The space group is P4/mbm (No. 127) and the conventional cell measures 8.266, 8.266 and 3.799 Å, with angles of 90.00, 90.00 and 90.00 degrees. The asymmetric unit holds Y at (0.176, 0.324, 0.000), Ti at (0.000, 0.000, 0.500) and Cd at (0.126, 0.626, 0.500).


11.
# YTiCd2

A geometry-optimized YTiCd2 structure (PBE-GGA, Alexandria).

The energy is -4.13 eV/atom. For the formation energy, the calculation gives -86 meV per atom. The distance to the lowest polymorph of the same formula comes out at 0.00 eV per formula unit.

The space group is P4/mmm (No. 123) and the conventional cell measures 3.542, 3.542 and 7.166 Å, with angles of 90.00, 90.00 and 90.00 degrees. The asymmetric unit holds Y at (0.000, 0.000, 0.000), Ti at (0.000, 0.000, 0.500) and Cd at (0.500, 0.500, 0.282).


12.
# Y2Ti2Cd

A geometry-optimized Y2Ti2Cd structure (PBE-GGA, Alexandria).

The energy is -5.78 eV/atom. For the formation energy, the calculation gives 148 meV per atom.

The space group is P4/mbm (No. 127) and the conventional cell measures 7.309, 7.309 and 4.554 Å, with angles of 90.00, 90.00 and 90.00 degrees. The asymmetric unit holds Y at (0.165, 0.335, 0.000), Ti at (0.129, 0.629, 0.500) and Cd at (0.000, 0.000, 0.500).